CuRu2Cl after structural relaxation, computed with PBE.

## Properties
Size of the total moment ... 0.0 μB/cell
Raw formation energy ... 0.699 eV/atom
ρ ... 8.816 Mg/m³
Symmetry ... No. 10
D(E_F) ... 4.98 states/eV/cell
Distance to the lowest polymorph of the same formula ... 454 meV per atom
VASP energy ... -5.425 eV per atom

Lattice parameters (Å, degrees): 2.8618 3.9133 5.2471 90.00 105.15 90.00
Closest atoms and distances in Å follow each position.
Fractional coordinates of all 4 atoms:
Cu 0.0000 0.0000 0.0000  2 Cl 2.64, 8 Ru 2.75-2.79, 2 Cu 2.86
Ru 0.3858 0.5000 0.7364  2 Cl 2.38
Ru 0.6142 0.5000 0.2636  2 Cl 2.38
Cl 0.5000 0.0000 0.5000  4 Ru 2.38, 2 Cu 2.64